[1]
Computed, not measured: a geometry-optimized ErAgTeS structure at the PBE-GGA level of DFT.

Geometry as extended XYZ:
```
8
Lattice="-4.449 1.166 -5.110 -4.391 0.519 5.264 0.801 4.178 0.256" Properties=species:S:1:pos:R:3 pbc="T T T"
Ag -2.139 0.555 2.650
Ag -2.168 0.879 -2.537
Te -3.860 3.566 2.419
Te -3.884 3.837 -1.915
Er -4.277 1.593 0.123
Er 0.628 3.276 0.201
S -6.884 2.451 0.191
S -1.535 1.432 0.098
```

Raw total energy = -4.751 eV per atom
M_tot = 0.0 μB/f.u.
Space group = Cmm2, No. 35


[2]
Computed, not measured: a geometry-optimized RbHfAgTeSe2 structure at the PBE-GGA level of DFT.

Geometry as extended XYZ:
```
12
Lattice="-1.202 6.788 4.706 -2.678 -5.910 -5.251 -2.622 -6.331 8.462" Properties=species:S:1:pos:R:3 pbc="T T T"
Se -3.888 -0.720 11.725
Se -2.780 1.955 8.150
Se -3.722 -7.408 -0.233
Se -2.614 -4.733 -3.808
Rb -2.252 1.807 4.157
Rb -4.250 -7.260 3.760
Hf -1.940 0.439 -0.273
Hf -3.251 -2.726 3.958
Ag -3.277 -7.007 -2.755
Ag -3.225 1.554 10.672
Te -3.790 -3.307 6.860
Te -2.712 -2.146 1.057
```

Raw total energy = -4.899 eV per atom
M_tot = 0.0 μB/f.u.
Space group = Cmcm, No. 63


[3]
Computed, not measured: a geometry-optimized HgAu9 structure at the PBE-GGA level of DFT.

Geometry as extended XYZ:
```
20
Lattice="-2.345 1.053 1.394 -1.746 -1.328 -1.934 -1.145 -43.270 30.762" Properties=species:S:1:pos:R:3 pbc="T T T"
Au -1.826 -36.667 24.628
Au -1.723 -20.272 15.484
Au -1.468 -23.136 15.009
Au -2.080 -33.761 25.073
Au -1.811 -23.617 17.862
Au -1.735 -33.245 22.196
Au -1.455 -10.163 8.297
Au -1.556 -26.485 17.390
Au -1.111 -9.647 5.420
Au -1.201 -13.052 7.840
Au -1.379 -19.791 12.631
Au -1.634 -16.923 13.103
Au -1.545 -13.557 10.709
Au -1.990 -30.356 22.652
Au -1.290 -16.431 10.243
Au -1.365 -6.741 5.864
Au -1.900 -26.977 20.250
Au -1.646 -29.851 19.783
Hg -2.180 -37.532 27.754
Hg -1.011 -5.876 2.738
```

Raw total energy = -2.940 eV per atom
DFT formation energy = 0.0297 eV/atom
Space group = P4/nmm, No. 129


[4]
Computed, not measured: a geometry-optimized DyHoTe2 structure at the PBE-GGA level of DFT.

Geometry as extended XYZ:
```
4
Lattice="-2.462 0.678 3.504 1.739 -3.490 1.897 4.413 3.515 2.421" Properties=species:S:1:pos:R:3 pbc="T T T"
Te -0.362 -1.406 2.701
Te 2.206 1.757 1.211
Dy 0.000 0.000 0.000
Ho 1.845 0.351 3.911
```

Raw total energy = -5.126 eV per atom
M_tot = 0.0 μB/f.u.
Space group = P4/mmm, No. 123


[5]
Computed, not measured: a geometry-optimized Dy2HoScIn2 structure at the PBE-GGA level of DFT.

Geometry as extended XYZ:
```
6
Lattice="-3.136 4.125 0.998 -1.088 -3.227 -4.031 -3.696 -3.785 4.028" Properties=species:S:1:pos:R:3 pbc="T T T"
Dy -5.198 -1.137 2.313
Dy -3.404 0.701 0.358
In 0.000 0.000 0.000
In -3.619 -2.669 -0.341
Ho -1.771 -0.776 -2.354
Sc -1.848 -1.892 2.014
```

Raw total energy = -4.620 eV per atom
M_tot = 1.0 μB/f.u.
Space group = P-6m2, No. 187


[6]
Computed, not measured: a geometry-optimized Pb2W8C3N3 structure at the PBE-GGA level of DFT.

Geometry as extended XYZ:
```
16
Lattice="3.200 0.000 0.000 -1.600 2.771 0.000 0.000 0.000 23.672" Properties=species:S:1:pos:R:3 pbc="T T T"
W 0.000 1.847 10.757
W 0.000 0.000 20.189
W 0.000 0.000 3.483
W 0.000 1.847 1.310
W 0.000 0.000 15.282
W 0.000 0.000 8.390
W 1.600 0.924 12.915
W 1.600 0.924 22.362
N 1.600 0.924 9.507
N 0.000 1.847 14.165
N 0.000 0.000 11.836
C 1.600 0.924 2.560
C 0.000 0.000 0.000
C 0.000 1.847 21.112
Pb 1.600 0.924 17.651
Pb 0.000 1.847 6.021
```

Raw total energy = -9.785 eV per atom
M_tot = 0.0 μB/f.u.
Space group = P-3m1, No. 164